Record 1
Computed, not measured: Ag3SbS3 after structural relaxation at the PBE-GGA level of DFT.

a = 7.073 Å, b = 15.955 Å, c = 6.344 Å
α = 90.00°, β = 117.60°, γ = 90.00°
Atoms (fractional coordinates):
1 Ag 0.936 0.690 0.729
2 Ag 0.475 0.243 0.283
3 S 0.471 0.635 0.916
4 S 0.943 0.333 0.815
5 S 0.216 0.444 0.485
6 S 0.529 0.135 0.584
7 Ag 0.412 0.903 0.943
8 Ag 0.412 0.597 0.443
9 Ag 0.525 0.743 0.217
10 Ag 0.588 0.097 0.057
11 S 0.784 0.556 0.515
12 Ag 0.475 0.257 0.783
13 Sb 0.809 0.550 0.133
14 Ag 0.525 0.757 0.717
15 Ag 0.936 0.810 0.229
16 S 0.784 0.944 0.015
17 Sb 0.191 0.050 0.367
18 Ag 0.064 0.310 0.271
19 S 0.057 0.667 0.185
20 S 0.529 0.365 0.084
21 S 0.057 0.833 0.685
22 Ag 0.588 0.403 0.557
23 Ag 0.064 0.190 0.771
24 Sb 0.191 0.450 0.867
25 Sb 0.809 0.950 0.633
26 S 0.471 0.865 0.416
27 S 0.943 0.167 0.315
28 S 0.216 0.056 0.985

Energy above the lowest structure with this stoichiometry = 0 meV per atom

Record 2
Computed, not measured: NdGa4Cl2 after structural relaxation at the PBE-GGA level of DFT.

a = 8.801 Å, b = 8.801 Å, c = 8.801 Å
α = 141.82°, β = 141.82°, γ = 55.10°
Atoms (fractional coordinates):
1 Cl 0.333 0.333 0.000
2 Ga 0.000 0.500 0.500
3 Ga 0.500 0.000 0.500
4 Ga 0.189 0.189 0.000
5 Cl 0.667 0.667 0.000
6 Ga 0.811 0.811 0.000
7 Nd 0.000 0.000 0.000

E_tot = -2.90 eV/atom

Record 3
Computed, not measured: Ho2Mg after structural relaxation at the PBE-GGA level of DFT.

a = 6.308 Å, b = 6.308 Å, c = 5.317 Å
α = 90.00°, β = 90.00°, γ = 90.00°
Atoms (fractional coordinates):
1 Ho 0.323 0.323 0.000
2 Mg 0.000 0.000 0.000
3 Ho 0.823 0.177 0.500
4 Mg 0.500 0.500 0.500
5 Ho 0.177 0.823 0.500
6 Ho 0.677 0.677 0.000

E_tot = -2.88 eV/atom